DFT (GGA-PBE) results for an optimized crystal structure of BaTmGa2Au5.

The raw total energy is -3.711 eV per atom. The crystal system is tetragonal.

Geometry as extended XYZ:
```
9
Lattice="-4.763 -1.500 0.596 1.384 -4.752 -0.893 1.467 -1.207 8.691" Properties=species:S:1:pos:R:3 pbc="T T T"
Au 1.903 -3.371 6.724
Ba 0.734 -0.603 4.346
Ga -0.532 -4.078 6.709
Au 0.949 -2.587 1.074
Au -1.171 -1.745 7.469
Ga -1.380 -3.380 1.685
Tm 0.000 0.000 0.000
Au -0.956 -3.729 4.197
Au -2.125 -0.961 1.818
```

***

DFT (GGA-PBE) results for an optimized crystal structure of NdSm4Y7.

The raw total energy is -5.474 eV per atom. The crystal system is monoclinic.

Geometry as extended XYZ:
```
12
Lattice="5.924 0.000 0.000 2.962 11.377 -0.250 2.962 0.221 6.094" Properties=species:S:1:pos:R:3 pbc="T T T"
Y 5.924 5.769 1.289
Y 8.886 3.791 4.897
Y 8.886 10.605 2.802
Y 2.962 0.000 0.000
Y 2.962 7.807 0.947
Sm 5.924 2.659 2.997
Sm 8.886 7.808 4.631
Y 2.962 0.992 3.042
Sm 2.962 3.789 1.213
Y 5.924 5.828 4.555
Sm 5.924 8.938 2.847
Nd 0.000 0.000 0.000
```

***

DFT (GGA-PBE) results for an optimized crystal structure of Ho2ErGa9.

The raw total energy is -3.943 eV per atom. The crystal system is tetragonal.

Geometry as extended XYZ:
```
12
Lattice="4.256 0.000 0.000 0.000 4.256 0.000 0.000 0.000 12.762" Properties=species:S:1:pos:R:3 pbc="T T T"
Ga 2.128 2.128 8.507
Ga 0.000 2.128 6.381
Ga 2.128 0.000 10.643
Ga 2.128 0.000 6.381
Ga 0.000 2.128 10.643
Ga 2.128 0.000 2.120
Ga 0.000 2.128 2.120
Ga 2.128 2.128 0.000
Ga 2.128 2.128 4.256
Ho 0.000 0.000 4.251
Ho 0.000 0.000 8.512
Er 0.000 0.000 0.000
```

***

DFT (GGA-PBE) results for an optimized crystal structure of NaPmIr2O8.

As for the formation energy (no corrections): -1.091 eV per atom. The crystal system is trigonal.

Geometry as extended XYZ:
```
12
Lattice="-0.029 -1.654 5.756 -3.137 -3.128 -4.031 5.603 -4.126 -1.158" Properties=species:S:1:pos:R:3 pbc="T T T"
O 2.959 -4.286 -1.213
O -1.746 -2.898 -0.842
Pm 2.801 -2.063 -0.579
Ir -0.010 -2.923 2.276
Na 0.000 0.000 0.000
O 1.034 -3.073 3.787
O 1.403 -5.836 -3.219
O -0.521 -4.623 1.781
O 1.052 -2.247 0.930
Ir 2.447 -5.986 -1.708
O 4.183 -6.010 1.410
O 1.385 -6.662 -0.362
```

***

DFT (GGA-PBE) results for an optimized crystal structure of CsHg2Sb2.

As for the formation energy (no corrections): -0.152 eV per atom. The crystal system is tetragonal.

Geometry as extended XYZ:
```
5
Lattice="5.078 0.000 0.000 0.000 5.078 0.000 2.539 2.539 6.385" Properties=species:S:1:pos:R:3 pbc="T T T"
Sb 2.539 5.078 3.193
Hg 2.539 2.539 1.425
Sb 5.078 2.539 3.193
Cs 0.000 0.000 0.000
Hg 5.078 5.078 4.960
```

***

DFT (GGA-PBE) results for an optimized crystal structure of Nd7Y4Mg.

The raw total energy is -5.052 eV per atom. The crystal system is trigonal.

Geometry as extended XYZ:
```
12
Lattice="-1.129 -1.191 3.242 -2.026 -0.590 -2.959 16.713 -30.460 -5.374" Properties=species:S:1:pos:R:3 pbc="T T T"
Y -0.029 -3.540 0.726
Nd 8.243 -18.617 -1.934
Nd 0.000 0.000 0.000
Mg 8.356 -15.230 -2.687
Nd 4.241 -7.730 -1.364
Y 13.587 -28.701 -5.816
Y 9.333 -20.948 -4.448
Nd 1.077 -5.900 -1.793
Nd 5.315 -13.625 -3.156
Nd 12.472 -22.731 -4.011
Nd 12.481 -26.341 -3.297
Y 4.225 -11.294 -0.642
```

***

DFT (GGA-PBE) results for an optimized crystal structure of CeTlSnO6.

As for the formation energy (no corrections): -1.660 eV per atom. The crystal system is tetragonal.

Geometry as extended XYZ:
```
18
Lattice="5.082 0.000 0.000 0.000 5.082 0.000 0.000 0.000 10.358" Properties=species:S:1:pos:R:3 pbc="T T T"
O 1.477 1.477 3.484
O 0.961 4.121 5.048
O 4.133 0.949 1.831
Sn 2.541 2.541 8.627
Tl 0.000 0.000 6.909
Sn 0.000 0.000 3.448
O 4.121 0.961 5.048
O 1.592 1.592 7.010
O 1.064 4.018 8.663
O 3.502 3.502 10.227
O 3.605 3.605 3.484
O 4.018 1.064 8.663
O 3.489 3.489 7.010
Ce 0.000 0.000 10.348
O 0.949 4.133 1.831
O 1.580 1.580 10.227
Ce 2.541 2.541 5.169
Tl 2.541 2.541 1.731
```

***

DFT (GGA-PBE) results for an optimized crystal structure of PrSmZnAg.

The raw total energy is -3.700 eV per atom. The crystal system is tetragonal.

Geometry as extended XYZ:
```
4
Lattice="3.733 0.000 0.000 0.000 3.733 0.000 0.000 0.000 7.329" Properties=species:S:1:pos:R:3 pbc="T T T"
Ag 1.866 1.866 0.868
Zn 1.866 1.866 4.380
Pr 0.000 0.000 6.214
Sm 0.000 0.000 2.667
```

***

DFT (GGA-PBE) results for an optimized crystal structure of LiLaNi.

The raw total energy is -4.349 eV per atom. The crystal system is monoclinic.

Geometry as extended XYZ:
```
6
Lattice="3.992 0.000 0.000 0.000 5.415 0.123 -1.996 -1.037 6.283" Properties=species:S:1:pos:R:3 pbc="T T T"
Ni 1.996 0.231 3.338
Li 0.000 0.185 5.077
La 1.996 2.908 4.642
Li 1.996 4.194 1.329
Ni 0.000 4.148 3.068
La 0.000 1.470 1.764
```

***

DFT (GGA-PBE) results for an optimized crystal structure of CeAgPt.

The raw total energy is -5.493 eV per atom. The crystal system is tetragonal.

Geometry as extended XYZ:
```
3
Lattice="-1.990 -2.926 1.198 1.283 0.547 3.466 -3.267 4.017 -1.438" Properties=species:S:1:pos:R:3 pbc="T T T"
Pt -3.677 1.406 3.153
Ce -1.099 -0.607 2.516
Ag -2.084 1.628 0.515
```

***

DFT (GGA-PBE) results for an optimized crystal structure of CrMoCl2.

As for the formation energy (no corrections): 0.413 eV per atom. The crystal system is orthorhombic.

Geometry as extended XYZ:
```
4
Lattice="3.256 -0.011 0.000 -1.861 2.672 0.000 0.000 0.000 8.462" Properties=species:S:1:pos:R:3 pbc="T T T"
Mo 0.698 1.330 6.346
Cr 0.698 1.330 2.115
Cl 0.000 0.000 8.365
Cl 0.000 0.000 4.328
```

***

DFT (GGA-PBE) results for an optimized crystal structure of NaSrSn2Se.

As for the formation energy (no corrections): 0.801 eV per atom. The crystal system is tetragonal.

Geometry as extended XYZ:
```
5
Lattice="6.080 0.000 0.000 0.000 6.016 0.000 0.000 0.000 6.080" Properties=species:S:1:pos:R:3 pbc="T T T"
Na 0.000 3.008 0.000
Sr 0.000 0.000 0.000
Se 3.040 3.008 3.040
Sn 3.040 0.000 0.000
Sn 0.000 0.000 3.040
```

***

DFT (GGA-PBE) results for an optimized crystal structure of Y3Te2N.

As for the formation energy (no corrections): -1.208 eV per atom. The crystal system is orthorhombic.

Geometry as extended XYZ:
```
12
Lattice="5.992 0.000 0.000 0.000 8.210 0.084 0.000 -3.949 7.199" Properties=species:S:1:pos:R:3 pbc="T T T"
Y 2.959 -0.575 2.918
Te 2.951 4.582 3.562
Y 5.688 0.456 0.780
N 0.214 3.629 6.202
Y 2.693 3.805 6.503
Y 5.955 1.435 6.354
Te 5.947 -0.321 3.720
Y 5.955 4.836 4.364
Te 2.951 0.861 5.740
N 3.210 0.632 1.081
Te 5.947 3.401 1.543
Y 2.959 2.826 0.928
```

***

DFT (GGA-PBE) results for an optimized crystal structure of PaH6Rh2.

The raw total energy is -5.101 eV per atom. The crystal system is hexagonal.

Geometry as extended XYZ:
```
27
Lattice="-4.280 0.081 -1.200 -1.834 -4.597 6.229 -0.060 7.920 0.747" Properties=species:S:1:pos:R:3 pbc="T T T"
Pa -2.789 3.788 1.975
H -3.948 -0.226 1.457
Rh -0.683 -1.712 2.320
H -1.343 2.080 1.066
H -2.199 5.535 3.678
H -4.495 3.556 3.669
H -3.668 5.748 0.870
H -1.678 -0.270 2.095
H -4.061 -2.349 2.392
Rh -1.188 2.086 4.378
H -2.081 1.605 2.992
H -2.533 -2.294 5.010
Rh -2.184 5.959 -0.042
Rh -3.510 -3.395 4.055
H -2.533 1.348 5.254
Rh -0.022 2.949 0.278
H -1.211 4.170 0.060
Rh -2.618 0.880 1.163
H -4.965 -0.391 5.750
H -4.002 1.642 2.453
H -3.613 2.125 0.429
Pa 0.000 0.000 0.000
H -4.804 -2.253 4.373
H -2.225 3.514 4.307
H -1.397 5.706 1.505
H -4.804 1.391 4.619
Pa -3.384 -0.384 3.801
```

***

DFT (GGA-PBE) results for an optimized crystal structure of AcAsRh2N.

As for the formation energy (no corrections): -0.693 eV per atom. The crystal system is orthorhombic.

Geometry as extended XYZ:
```
10
Lattice="-3.308 -1.995 -0.392 4.193 -3.751 2.930 -2.306 2.538 6.550" Properties=species:S:1:pos:R:3 pbc="T T T"
N 0.000 0.000 0.000
Rh -0.081 -4.026 1.939
Rh -0.413 -0.202 4.513
As -2.210 -1.289 5.981
Ac 0.622 -2.496 7.446
N -1.153 1.269 3.275
Rh -1.341 0.819 7.149
Rh -1.009 -3.005 4.575
Ac -2.044 -0.712 1.642
As 0.788 -1.918 3.107
```

***

DFT (GGA-PBE) results for an optimized crystal structure of Tb9Nd2Tl.

The raw total energy is -4.501 eV per atom. The crystal system is tetragonal.

Geometry as extended XYZ:
```
12
Lattice="-0.815 -2.158 4.413 -1.236 -4.240 -2.302 14.561 -4.509 0.486" Properties=species:S:1:pos:R:3 pbc="T T T"
Tb 6.662 -4.374 -0.908
Tb 11.813 -4.863 2.614
Tb 1.932 -1.804 2.285
Tb 6.873 -3.334 2.449
Tl 0.000 0.000 0.000
Nd 4.835 -1.497 0.161
Tb -1.026 -3.199 1.056
Tb 8.768 -6.232 1.382
Tb 11.603 -5.904 -0.743
Tb 3.742 -4.675 1.215
Tb 1.722 -2.844 -1.073
Nd 9.726 -3.012 0.324
```

***

DFT (GGA-PBE) results for an optimized crystal structure of ScReI2O.

As for the formation energy (no corrections): -0.055 eV per atom. The crystal system is tetragonal.

Geometry as extended XYZ:
```
5
Lattice="5.964 0.000 0.000 0.000 5.964 0.000 0.000 0.000 3.860" Properties=species:S:1:pos:R:3 pbc="T T T"
O 0.000 0.000 1.930
I 0.000 2.982 0.000
Sc 0.000 0.000 0.000
Re 2.982 2.982 1.930
I 2.982 0.000 0.000
```

***

DFT (GGA-PBE) results for an optimized crystal structure of Rb2CdIrN.

As for the formation energy (no corrections): 0.036 eV per atom. The crystal system is tetragonal.

Geometry as extended XYZ:
```
5
Lattice="-6.323 0.702 0.263 -0.127 -3.210 5.497 0.432 3.190 1.873" Properties=species:S:1:pos:R:3 pbc="T T T"
N 0.000 0.000 0.000
Ir 0.216 1.595 0.936
Cd -3.009 0.341 3.817
Rb -3.161 0.351 0.132
Rb -0.064 -1.605 2.749
```

***

DFT (GGA-PBE) results for an optimized crystal structure of TaSi2Pd.

As for the formation energy (no corrections): -0.143 eV per atom. The crystal system is cubic.

Geometry as extended XYZ:
```
4
Lattice="-1.974 -3.837 -0.752 -3.733 -0.985 2.069 -3.771 -0.124 -2.226" Properties=species:S:1:pos:R:3 pbc="T T T"
Si -2.370 -1.237 -0.227
Ta -4.739 -2.473 -0.454
Si -7.109 -3.710 -0.681
Pd 0.000 0.000 0.000
```

***

DFT (GGA-PBE) results for an optimized crystal structure of U2RhSe6.

As for the formation energy (no corrections): -0.906 eV per atom. The crystal system is monoclinic.

Geometry as extended XYZ:
```
18
Lattice="-4.298 -1.466 -4.300 4.784 -4.384 -3.288 -2.984 -6.907 4.867" Properties=species:S:1:pos:R:3 pbc="T T T"
U 2.005 -4.570 -1.132
Se 0.703 -2.023 -1.454
Se 1.124 -7.174 -2.021
U -0.490 -9.807 -1.636
U -4.503 -8.187 -1.589
Se -4.756 -8.300 1.209
Se -3.201 -10.734 -1.267
Rh -1.492 -3.454 2.434
U -2.008 -2.950 -1.085
Se -1.341 -4.743 -3.071
Se 2.258 -4.457 -3.930
Se -2.029 -8.052 -3.202
Se -3.622 -5.583 -0.700
Se -2.717 -5.600 2.910
Rh 0.243 -2.925 -3.794
Se -1.157 -8.014 0.351
Se -0.469 -4.705 0.481
Se 0.219 -7.157 -5.631
```